The following is a DFT calculation (PBE-GGA) of an optimized crystal structure of CsTcSbH2.

Computed properties:
Total magnetic moment: 0.00 μB per cell
Calculated total energy: -4.209 eV/atom

Geometry as CIF:
```
data_CsTcSbH2
_chemical_formula_sum 'Cs2 Tc2 Sb2 H4'
_symmetry_space_group_name_H-M 'C 1 m 1'
_symmetry_Int_Tables_number 8
_symmetry_space_group_name_Hall 'C -2y'
_cell_length_a 15.664
_cell_length_b 3.681
_cell_length_c 3.306
_cell_angle_alpha 90.00
_cell_angle_beta 101.73
_cell_angle_gamma 90.00
loop_
_atom_site_label
_atom_site_type_symbol
_atom_site_fract_x
_atom_site_fract_y
_atom_site_fract_z
_atom_site_occupancy
Cs1 Cs 0.000 0.000 0.000 1
Tc1 Tc 0.288 0.000 0.277 1
Sb1 Sb 0.218 0.500 0.710 1
H1 H 0.097 0.500 0.593 1
H2 H 0.354 0.000 0.840 1
```